*w*
First-principles (PBE-GGA) data for an optimized crystal structure of LiAcBr4, as listed in the Alexandria database.

```
LiAcBr4
1.0
5.0585 -7.4277 0.0000
5.0585 7.4277 0.0000
-5.0500 0.0000 5.0826
Li Ac Br
2 2 8
direct
0.1236 0.8764 0.7500 Li
0.8764 0.1236 0.2500 Li
0.3747 0.6253 0.2500 Ac
0.6253 0.3747 0.7500 Ac
0.0421 0.6295 0.8595 Br
0.2307 0.3177 0.6901 Br
0.3177 0.2307 0.1901 Br
0.3705 0.9579 0.6405 Br
0.6295 0.0421 0.3595 Br
0.6823 0.7693 0.8099 Br
0.7693 0.6823 0.3099 Br
0.9579 0.3705 0.1405 Br
```

Properties
ρ = 4.81 g/cm³


*x*
First-principles (PBE-GGA) data for an optimized crystal structure of LiAcBr4, as listed in the Alexandria database.

```
LiAcBr4
1.0
7.4880 0.0000 0.0000
0.0000 7.3360 0.0000
-1.8455 0.0000 7.0873
Li Ac Br
2 2 8
direct
0.0000 0.0000 0.0000 Li
0.5000 0.5000 0.0000 Li
0.0054 0.5000 0.4965 Ac
0.5054 0.0000 0.4965 Ac
0.1900 0.2473 0.2395 Br
0.1900 0.7527 0.2395 Br
0.3204 0.2531 0.7523 Br
0.3204 0.7469 0.7523 Br
0.6900 0.2527 0.2395 Br
0.6900 0.7473 0.2395 Br
0.8204 0.2469 0.7523 Br
0.8204 0.7531 0.7523 Br
```

Properties
ρ = 4.72 g/cm³


The least stable of them is *x*.


*w*
First-principles (PBE-GGA) data for an optimized crystal structure of Ac2MgBr, as listed in the Alexandria database.

```
Ac2MgBr
1.0
3.9880 0.0000 0.0000
-1.9940 3.4537 0.0000
0.0000 0.0000 31.4807
Ac Mg Br
6 3 3
direct
0.0000 0.0000 0.2488 Ac
0.0000 0.0000 0.7512 Ac
0.3333 0.6667 0.4179 Ac
0.3333 0.6667 0.9154 Ac
0.6667 0.3333 0.0846 Ac
0.6667 0.3333 0.5821 Ac
0.0000 0.0000 0.0000 Mg
0.3333 0.6667 0.6667 Mg
0.6667 0.3333 0.3333 Mg
0.0000 0.0000 0.5000 Br
0.3333 0.6667 0.1667 Br
0.6667 0.3333 0.8333 Br
```

Properties
ρ = 6.41 g/cm³


*x*
First-principles (PBE-GGA) data for an optimized crystal structure of Ac2MgBr, as listed in the Alexandria database.

```
Ac2MgBr
1.0
3.8934 0.0000 0.0000
0.0000 3.8934 0.0000
0.0000 0.0000 9.0852
Ac Mg Br
2 1 1
direct
0.0000 0.0000 0.2378 Ac
0.0000 0.0000 0.7622 Ac
0.5000 0.5000 0.0000 Mg
0.5000 0.5000 0.5000 Br
```

Properties
ρ = 6.73 g/cm³


The least stable of them is *x*.